Crystalline Rb3SnRh3O8 at its relaxed geometry. Source: the Alexandria database, functional PBE.

Cell: 6.4412 6.4412 18.9910 Å, 90.00 90.00 120.00°
With the nearest neighbours (Å) after each atom.
Space group R-3m (No. 166, hexagonal axes)
Unique sites:
Rb1 0.0000 0.5000 0.0000 [9 per cell]  6 O 2.84-2.87
Sn1 0.0000 0.0000 0.5000 [3 per cell]  6 O 2.15
Rh1 0.0000 0.5000 0.5000 [9 per cell]  6 O 2.10-2.11
O1 0.0000 0.0000 0.2183 [6 per cell]  3 Rh 2.10
O2 0.0044 0.5022 0.7791 [18 per cell]  2 Rh 2.11, 1 Sn 2.15

Computed properties:
The value obtained for the uncorrected formation energy is -1.127 eV/atom. For the total energy, the calculation gives -5.702 eV/atom.

Crystalline Rb3Sr2RhO6 at its relaxed geometry. Source: the Alexandria database, functional PBE.

Cell: 6.1746 10.6886 6.7516 Å, 90.00 107.67 90.00°
With the nearest neighbours (Å) after each atom.
Space group C2/m (No. 12)
Unique sites:
Rb1 0.0000 0.0000 0.0000 [2 per cell]  4 O 2.81
Rb2 0.0000 0.3356 0.0000 [4 per cell]  4 O 2.79-2.81
Sr1 0.0000 0.1666 0.5000 [4 per cell]  6 O 2.53
Rh1 0.0000 0.5000 0.5000 [2 per cell]  6 O 2.06-2.08
O1 0.1985 0.3616 0.6795 [8 per cell]  1 Rh 2.06
O2 0.2182 0.5000 0.3186 [4 per cell]  1 Rh 2.08

Computed properties:
The value obtained for the uncorrected formation energy is -1.582 eV/atom. For the total energy, the calculation gives -5.196 eV/atom.

Crystalline RbSrRhO3 at its relaxed geometry. Source: the Alexandria database, functional PBE.

Cell: 13.6314 4.0059 8.0784 Å, 90.00 105.80 90.00°
With the nearest neighbours (Å) after each atom.
Space group C2/m (No. 12)
Unique sites:
Rb1 0.1423 0.0000 0.0654 [4 per cell]  7 O 2.86-3.12
Sr1 0.1514 0.0000 0.5758 [4 per cell]  7 O 2.54-2.63
Rh1 0.0054 0.5000 0.2857 [4 per cell]  4 O 1.94-2.00
O1 0.0055 0.0000 0.2950 [4 per cell]  2 Rh 2.00
O2 0.1426 0.5000 0.7792 [4 per cell]  1 Rh 1.94
O3 0.1557 0.5000 0.3661 [4 per cell]  1 Rh 1.97

Computed properties:
The value obtained for the uncorrected formation energy is -1.558 eV/atom. For the total energy, the calculation gives -5.704 eV/atom.

Crystalline Rb2Sr2RhO6 at its relaxed geometry. Source: the Alexandria database, functional PBE.

Cell: 6.1667 10.3722 6.8309 Å, 90.00 105.31 90.00°
With the nearest neighbours (Å) after each atom.
Space group C2/m (No. 12)
Unique sites:
Rb1 0.0000 0.1637 0.0000 [4 per cell]  4 O 2.81-2.82
Sr1 0.0000 0.3372 0.5000 [4 per cell]  6 O 2.49-2.51
Rh1 0.0000 0.0000 0.5000 [2 per cell]  6 O 2.00
O1 0.1860 0.1382 0.6684 [8 per cell]  1 Rh 2.00
O2 0.2134 0.0000 0.3240 [4 per cell]  1 Rh 2.00

Computed properties:
The value obtained for the uncorrected formation energy is -1.583 eV/atom. For the total energy, the calculation gives -5.438 eV/atom.

Crystalline Rb3Sr3RhO8 at its relaxed geometry. Source: the Alexandria database, functional PBE.

Cell: 7.2186 7.2186 19.7043 Å, 90.00 90.00 120.00°
With the nearest neighbours (Å) after each atom.
Space group R-3m (No. 166, hexagonal axes)
Unique sites:
Rb1 0.0000 0.5000 0.0000 [9 per cell]  6 O 2.89-2.90
Sr1 0.0000 0.5000 0.5000 [9 per cell]  6 O 2.44-2.58
Rh1 0.0000 0.0000 0.5000 [3 per cell]  6 O 1.99
O1 0.0000 0.0000 0.2311 [6 per cell]  3 Sr 2.44
O2 0.0680 0.5340 0.2229 [18 per cell]  1 Rh 1.99

Computed properties:
The value obtained for the uncorrected formation energy is -1.619 eV/atom. For the total energy, the calculation gives -5.284 eV/atom.

Crystalline RbTaRhO6 at its relaxed geometry. Source: the Alexandria database, functional PBE.

Cell: 5.3233 5.3233 6.3840 Å, 90.00 90.00 120.00°
With the nearest neighbours (Å) after each atom.
Space group P312 (No. 149)
Unique sites:
Rb1 0.0000 0.0000 0.0000 [1 per cell]  6 O 2.94
Ta1 0.3333 0.6667 0.5000 [1 per cell]  6 O 2.01
Rh1 0.6667 0.3333 0.5000 [1 per cell]  6 O 1.96
O1 0.3931 0.0059 0.6739 [6 per cell]  1 Rh 1.96, 1 Ta 2.01

Computed properties:
The value obtained for the uncorrected formation energy is -1.537 eV/atom. For the total energy, the calculation gives -7.084 eV/atom.

Crystalline Rb2Tb2RhO6 at its relaxed geometry. Source: the Alexandria database, functional PBE.

Cell: 5.8454 10.0266 6.8798 Å, 90.00 104.90 90.00°
With the nearest neighbours (Å) after each atom.
Space group C2/m (No. 12)
Unique sites:
Rb1 0.0000 0.1631 0.0000 [4 per cell]  6 O 2.85-3.10
Tb1 0.0000 0.3350 0.5000 [4 per cell]  6 O 2.29-2.31
Rh1 0.0000 0.0000 0.5000 [2 per cell]  6 O 2.09-2.10
O1 0.2029 0.1552 0.6650 [8 per cell]  1 Rh 2.10, 2 Tb 2.29-2.31
O2 0.2483 0.5000 0.6673 [4 per cell]  1 Rh 2.09, 2 Tb 2.30

Computed properties:
The value obtained for the uncorrected formation energy is -2.123 eV/atom. For the total energy, the calculation gives -6.513 eV/atom.

Crystalline RbTcRhO6 at its relaxed geometry. Source: the Alexandria database, functional PBE.

Cell: 5.3271 5.3271 6.2008 Å, 90.00 90.00 120.00°
With the nearest neighbours (Å) after each atom.
Space group P312 (No. 149)
Unique sites:
Rb1 0.0000 0.0000 0.0000 [1 per cell]  6 O 2.93
Tc1 0.6667 0.3333 0.5000 [1 per cell]  6 O 1.91
Rh1 0.3333 0.6667 0.5000 [1 per cell]  6 O 1.99
O1 0.4002 0.0101 0.3288 [6 per cell]  1 Tc 1.91, 1 Rh 1.99

Computed properties:
The value obtained for the uncorrected formation energy is -1.156 eV/atom. For the total energy, the calculation gives -6.537 eV/atom.

Crystalline Rb2TeRhO6 at its relaxed geometry. Source: the Alexandria database, functional PBE.

Cell: 5.9850 5.9850 29.1199 Å, 90.00 90.00 120.00°
With the nearest neighbours (Å) after each atom.
Space group R-3m (No. 166, hexagonal axes)
Unique sites:
Rb1 0.0000 0.0000 0.1266 [6 per cell]  12 O 3.00-3.17
Rb2 0.0000 0.0000 0.2838 [6 per cell]  12 O 2.89-3.19
Te1 0.0000 0.0000 0.0000 [3 per cell]  6 O 1.97
Te2 0.0000 0.0000 0.5000 [3 per cell]  6 O 1.97
Rh1 0.0000 0.0000 0.4060 [6 per cell]  6 O 2.05-2.09
O1 0.0242 0.5121 0.7062 [18 per cell]  1 Te 1.97, 1 Rh 2.09
O2 0.0484 0.5242 0.1217 [18 per cell]  1 Te 1.97, 1 Rh 2.05

Computed properties:
The value obtained for the uncorrected formation energy is -1.063 eV/atom. For the total energy, the calculation gives -5.281 eV/atom.

Crystalline RbTe2RhO at its relaxed geometry. Source: the Alexandria database, functional PBE.

Cell: 5.9638 5.9638 3.7098 Å, 90.00 90.00 90.00°
With the nearest neighbours (Å) after each atom.
Space group P4/mmm (No. 123)
Unique sites:
Rb1 0.0000 0.0000 0.0000 [1 per cell]  8 Te 3.51, 2 Rb 3.71
Te1 0.0000 0.5000 0.5000 [2 per cell]  2 Rh 2.98
Rh1 0.5000 0.5000 0.5000 [1 per cell]  2 O 1.85
O1 0.5000 0.5000 0.0000 [1 per cell]  2 Rh 1.85

Computed properties:
The value obtained for the uncorrected formation energy is -0.327 eV/atom. For the total energy, the calculation gives -4.239 eV/atom.